No. 1
Here is a relaxed structure of La3Pr5Ag2 from Alexandria. Energies are from GGA-PBE.

a = 6.8860 Å, b = 10.8322 Å, c = 10.8322 Å
α = 66.78°, β = 71.47°, γ = 71.47°
Sites, in units of the cell vectors:
La: 0.8325 0.9473 0.3878
Ag: 0.1605 0.7795 0.8995
Pr: 0.5663 0.2046 0.6629
Pr: 0.5541 0.6959 0.6959
Pr: 0.4459 0.3041 0.3041
La: 0.1675 0.0527 0.6122
Ag: 0.8395 0.2205 0.1005
Ag: 0.3395 0.1005 0.2205
Pr: 0.0541 0.6959 0.6959
Pr: 0.0663 0.6629 0.2046
La: 0.6675 0.6122 0.0527
La: 0.7500 0.0000 0.0000
Pr: 0.9337 0.3371 0.7954
La: 0.3325 0.3878 0.9473
La: 0.2500 0.0000 0.0000
Ag: 0.6605 0.8995 0.7795
Pr: 0.4337 0.7954 0.3371
Pr: 0.9459 0.3041 0.3041
Pr: 0.2500 0.5000 0.5000
Pr: 0.7500 0.5000 0.5000

Energy relative to the elements   0.08 eV per atom
Uncorrected energy   -87.26 eV for the cell shown
M_tot   0.00 μB/cell
SG   Ibam

No. 2
Here is a relaxed structure of Sr3Ce3ReN8 from Alexandria. Energies are from GGA-PBE.

a = 6.9694 Å, b = 6.9694 Å, c = 7.2081 Å
α = 118.91°, β = 90.00°, γ = 120.00°
Sites, in units of the cell vectors:
N: 0.7692 0.9770 0.6847
N: 0.2077 0.4155 0.6847
N: 0.2619 0.5239 0.2859
N: 0.7381 0.4761 0.7141
Sr: 0.0000 0.5000 0.0000
N: 0.2308 0.0230 0.3153
Sr: 0.0000 0.0000 0.0000
Ce: 0.5000 0.5000 0.5000
N: 0.2078 0.9770 0.6847
N: 0.7922 0.0230 0.3153
Sr: 0.5000 0.5000 0.0000
Ce: 0.5000 0.0000 0.5000
Re: 0.0000 0.0000 0.5000
Ce: 0.0000 0.5000 0.5000
N: 0.7923 0.5845 0.3153

Formation energy without anion corrections   -0.93 eV per atom
Uncorrected energy   -115.78 eV for the cell shown
M_tot   0.02 μB/cell
SG   R-3m

No. 3
Here is a relaxed structure of SrPaBi from Alexandria. Energies are from GGA-PBE.

a = 3.9489 Å, b = 3.9489 Å, c = 13.6621 Å
α = 98.31°, β = 98.31°, γ = 90.00°
Sites, in units of the cell vectors:
Sr: 0.5745 0.5745 0.1489
Sr: 0.4255 0.4255 0.8511
Pa: 0.7290 0.7290 0.4579
Bi: 0.1529 0.1529 0.3059
Pa: 0.2710 0.2710 0.5421
Bi: 0.8471 0.8471 0.6941

Energy relative to the elements   -0.20 eV per atom
Uncorrected energy   -31.33 eV for the cell shown
M_tot   0.00 μB/cell
SG   I4/mmm

No. 4
Here is a relaxed structure of NaAlZn2Se4 from Alexandria. Energies are from GGA-PBE.

a = 6.0562 Å, b = 6.0562 Å, c = 6.9924 Å
α = 115.65°, β = 115.65°, γ = 90.03°
Sites, in units of the cell vectors:
Zn: 0.2500 0.7500 0.5001
Se: 0.1436 0.1436 0.7374
Se: 0.5938 0.5938 0.7374
Zn: 0.7500 0.2500 0.5001
Al: 0.5000 0.5000 0.9999
Se: 0.4064 0.8562 0.2625
Na: 0.0003 0.0003 0.0006
Se: 0.8562 0.4064 0.2625

Formation energy without anion corrections   -0.83 eV per atom
Uncorrected energy   -28.23 eV for the cell shown
M_tot   0.00 μB/cell
SG   I-42m

No. 5
Here is a relaxed structure of Li5B8C8 from Alexandria. Energies are from GGA-PBE.

a = 7.9261 Å, b = 7.9261 Å, c = 9.3942 Å
α = 107.86°, β = 107.86°, γ = 19.62°
Sites, in units of the cell vectors:
C: 0.6356 0.6356 0.9824
C: 0.1328 0.1328 0.2320
Li: 0.9951 0.9951 0.4765
B: 0.6199 0.6199 0.6385
Li: 0.5049 0.5049 0.7735
C: 0.6157 0.6157 0.4720
B: 0.1194 0.1194 0.3874
B: 0.3806 0.3806 0.8626
B: 0.3685 0.3685 0.3529
Li: 0.7525 0.7525 0.8513
C: 0.8843 0.8843 0.7780
Li: 0.2500 0.2500 0.1250
B: 0.8689 0.8689 0.1043
C: 0.3779 0.3779 0.5242
C: 0.1221 0.1221 0.7258
C: 0.3672 0.3672 0.0180
B: 0.6311 0.6311 0.1457
B: 0.1315 0.1315 0.8971
C: 0.8644 0.8644 0.2676
B: 0.8801 0.8801 0.6115
Li: 0.7475 0.7475 0.3987

Energy relative to the elements   -0.14 eV per atom
Uncorrected energy   -139.75 eV for the cell shown
M_tot   0.00 μB/cell
SG   C2/m
Excess energy over the best structure of this formula in the dataset   4 meV/atom

No. 6
Here is a relaxed structure of Zn3InB from Alexandria. Energies are from GGA-PBE.

a = 5.1012 Å, b = 5.1012 Å, c = 5.1012 Å
α = 90.00°, β = 90.00°, γ = 90.00°
Sites, in units of the cell vectors:
B: 0.5000 0.5000 0.5000
Zn: 0.0000 0.5000 0.0000
In: 0.0000 0.0000 0.0000
Zn: 0.0000 0.0000 0.5000
Zn: 0.5000 0.0000 0.0000

Energy relative to the elements   1.43 eV per atom
Uncorrected energy   -6.07 eV for the cell shown
M_tot   0.00 μB/cell
SG   Pm-3m
Excess energy over the best structure of this formula in the dataset   1059 meV/atom

No. 7
Here is a relaxed structure of Y2Be2Tc from Alexandria. Energies are from GGA-PBE.

a = 6.6558 Å, b = 6.6558 Å, c = 4.0989 Å
α = 90.00°, β = 90.00°, γ = 90.00°
Sites, in units of the cell vectors:
Be: 0.8810 0.6190 0.0000
Tc: 0.5000 0.5000 0.0000
Be: 0.3810 0.8810 0.0000
Be: 0.1190 0.3810 0.0000
Be: 0.6190 0.1190 0.0000
Y: 0.1868 0.6868 0.5000
Tc: 0.0000 0.0000 0.0000
Y: 0.6868 0.8132 0.5000
Y: 0.8132 0.3132 0.5000
Y: 0.3132 0.1868 0.5000

Energy relative to the elements   0.15 eV per atom
Uncorrected energy   -59.97 eV for the cell shown
M_tot   0.00 μB/cell
SG   P4/mbm
Excess energy over the best structure of this formula in the dataset   0 meV/atom

No. 8
Here is a relaxed structure of BaZn2Si from Alexandria. Energies are from GGA-PBE.

a = 4.5917 Å, b = 4.5943 Å, c = 4.7749 Å
α = 90.00°, β = 90.00°, γ = 90.00°
Sites, in units of the cell vectors:
Zn: 0.5000 0.5000 0.0000
Zn: 0.0000 0.0000 0.0000
Si: 0.0000 0.5000 0.5000
Ba: 0.5000 0.0000 0.5000

Formation energy without anion corrections   0.21 eV per atom
Uncorrected energy   -9.05 eV for the cell shown
M_tot   0.00 μB/cell
SG   P4/mmm

No. 9
Here is a relaxed structure of Nd5Sm2Tl from Alexandria. Energies are from GGA-PBE.

a = 3.5477 Å, b = 11.3852 Å, c = 8.8951 Å
α = 129.79°, β = 101.50°, γ = 90.00°
Sites, in units of the cell vectors:
Nd: 0.6306 0.3936 0.2611
Sm: 0.2691 0.7691 0.5382
Nd: 0.6306 0.8675 0.2611
Sm: 0.7309 0.2309 0.4618
Nd: 0.0000 0.5000 0.0000
Nd: 0.3694 0.1325 0.7389
Tl: 0.0000 0.0000 0.0000
Nd: 0.3694 0.6064 0.7389

Energy relative to the elements   -0.01 eV per atom
Uncorrected energy   -35.72 eV for the cell shown
M_tot   0.00 μB/cell
SG   Immm

No. 10
Here is a relaxed structure of YNi2As2 from Alexandria. Energies are from GGA-PBE.

a = 7.1607 Å, b = 7.1607 Å, c = 3.1706 Å
α = 90.00°, β = 90.00°, γ = 90.00°
Sites, in units of the cell vectors:
Ni: 0.8815 0.6185 0.0000
As: 0.3242 0.1758 0.5000
As: 0.8242 0.3242 0.5000
As: 0.6758 0.8242 0.5000
As: 0.1758 0.6758 0.5000
Ni: 0.3815 0.8815 0.0000
Y: 0.5000 0.5000 0.0000
Y: 0.0000 0.0000 0.0000
Ni: 0.6185 0.1185 0.0000
Ni: 0.1185 0.3815 0.0000

Energy relative to the elements   -0.37 eV per atom
Uncorrected energy   -58.37 eV for the cell shown
M_tot   0.00 μB/cell
SG   P4/mbm

No. 11
Here is a relaxed structure of Zn5Re from Alexandria. Energies are from GGA-PBE.

a = 4.9176 Å, b = 4.9176 Å, c = 4.1998 Å
α = 90.00°, β = 90.00°, γ = 120.00°
Last column: magnetic moment on the atom in μB.
Sites, in units of the cell vectors:
Zn: 0.3333 0.6667 0.0000  -0.01
Zn: 0.5000 0.5000 0.5000  -0.01
Zn: 0.5000 0.0000 0.5000  -0.01
Zn: 0.6667 0.3333 0.0000  -0.01
Re: 0.0000 0.0000 0.0000  0.65
Zn: 0.0000 0.5000 0.5000  -0.01

Energy relative to the elements   0.47 eV per atom
Uncorrected energy   -15.98 eV for the cell shown
M_tot   0.67 μB/cell
SG   P6/mmm
Excess energy over the best structure of this formula in the dataset   383 meV/atom

No. 12
Here is a relaxed structure of HgIrSe2 from Alexandria. Energies are from GGA-PBE.

a = 3.7099 Å, b = 4.9179 Å, c = 5.7619 Å
α = 61.28°, β = 90.00°, γ = 90.00°
Sites, in units of the cell vectors:
Hg: 0.5000 0.2500 0.2500
Ir: 0.5000 0.7500 0.7500
Se: 0.0000 0.5411 0.5988
Se: 0.0000 0.9589 0.9012

Formation energy without anion corrections   -0.14 eV per atom
Uncorrected energy   -16.70 eV for the cell shown
M_tot   0.00 μB/cell
SG   P2/m

No. 13
Here is a relaxed structure of Mg2In7Sn2 from Alexandria. Energies are from GGA-PBE.

a = 5.7025 Å, b = 5.7025 Å, c = 9.5438 Å
α = 91.72°, β = 91.72°, γ = 109.91°
Sites, in units of the cell vectors:
Sn: 0.2589 0.7411 0.5000
In: 0.1979 0.5845 0.1428
In: 0.8021 0.4155 0.8572
In: 0.4155 0.8021 0.8572
In: 0.0000 0.0000 0.0000
Sn: 0.7411 0.2589 0.5000
In: 0.2504 0.2504 0.7148
In: 0.5845 0.1979 0.1428
Mg: 0.2180 0.2180 0.3713
Mg: 0.7820 0.7820 0.6287
In: 0.7496 0.7496 0.2852

Energy relative to the elements   0.00 eV per atom
Uncorrected energy   -30.36 eV for the cell shown
M_tot   0.00 μB/cell
SG   C2/m

No. 14
Here is a relaxed structure of GaIO5 from Alexandria. Energies are from GGA-PBE.

a = 5.4061 Å, b = 5.4061 Å, c = 7.4679 Å
α = 69.64°, β = 69.64°, γ = 92.91°
Sites, in units of the cell vectors:
O: 0.3199 0.2592 0.3429
O: 0.0791 0.9209 0.7500
I: 0.0000 0.0000 0.0000
O: 0.9209 0.0791 0.2500
O: 0.2696 0.8031 0.0295
O: 0.8031 0.2696 0.5295
O: 0.2592 0.3199 0.8429
O: 0.7408 0.6801 0.1571
O: 0.6801 0.7408 0.6571
Ga: 0.3667 0.6333 0.2500
Ga: 0.6333 0.3667 0.7500
O: 0.1969 0.7304 0.4705
I: 0.0000 0.0000 0.5000
O: 0.7304 0.1969 0.9705

Formation energy without anion corrections   -0.65 eV per atom
Uncorrected energy   -67.81 eV for the cell shown
M_tot   0.00 μB/cell
SG   C2/c

No. 15
Here is a relaxed structure of RbCoTe2 from Alexandria. Energies are from GGA-PBE.

a = 9.9151 Å, b = 9.9151 Å, c = 9.9151 Å
α = 22.88°, β = 22.88°, γ = 22.88°
Sites, in units of the cell vectors:
Rb: 0.0000 0.0000 0.0000
Te: 0.8771 0.8771 0.8771
Te: 0.1229 0.1229 0.1229
Co: 0.5000 0.5000 0.5000

Formation energy without anion corrections   -0.19 eV per atom
Uncorrected energy   -15.10 eV for the cell shown
M_tot   0.00 μB/cell
SG   R-3m

No. 16
Here is a relaxed structure of SrAlCl2 from Alexandria. Energies are from GGA-PBE.

a = 5.2849 Å, b = 5.2849 Å, c = 5.2849 Å
α = 60.00°, β = 60.00°, γ = 60.00°
Sites, in units of the cell vectors:
Sr: 0.5000 0.5000 0.5000
Cl: 0.7500 0.7500 0.7500
Al: 0.0000 0.0000 0.0000
Cl: 0.2500 0.2500 0.2500

Formation energy without anion corrections   -1.02 eV per atom
Uncorrected energy   -13.21 eV for the cell shown
M_tot   0.00 μB/cell
SG   Fm-3m
Excess energy over the best structure of this formula in the dataset   209 meV/atom

No. 17
Here is a relaxed structure of LiFe2Re from Alexandria. Energies are from GGA-PBE.

a = 4.9770 Å, b = 4.9770 Å, c = 4.9770 Å
α = 148.23°, β = 129.49°, γ = 60.91°
Last column: magnetic moment on the atom in μB.
Sites, in units of the cell vectors:
Re: 0.2337 0.7337 0.5000  -0.24
Li: 0.5088 0.5088 0.0000  -0.04
Fe: 0.9914 0.9914 0.0000  1.92
Fe: 0.7661 0.2661 0.5000  1.64

Energy relative to the elements   0.25 eV per atom
Uncorrected energy   -30.30 eV for the cell shown
M_tot   3.21 μB/cell
SG   Imm2
Excess energy over the best structure of this formula in the dataset   101 meV/atom

No. 18
Here is a relaxed structure of LiZrBe from Alexandria. Energies are from GGA-PBE.

a = 3.9872 Å, b = 16.1789 Å, c = 3.2111 Å
α = 90.00°, β = 90.00°, γ = 90.00°
Sites, in units of the cell vectors:
Zr: 0.0000 0.0841 0.2500
Li: 0.5000 0.2055 0.7500
Be: 0.5000 0.9585 0.2500
Zr: 0.5000 0.4159 0.7500
Li: 0.0000 0.2945 0.2500
Zr: 0.5000 0.5841 0.2500
Be: 0.0000 0.5415 0.7500
Be: 0.0000 0.4585 0.2500
Zr: 0.0000 0.9159 0.7500
Be: 0.5000 0.0415 0.7500
Li: 0.5000 0.7945 0.2500
Li: 0.0000 0.7055 0.7500

Energy relative to the elements   0.06 eV per atom
Uncorrected energy   -55.98 eV for the cell shown
M_tot   0.00 μB/cell
SG   Cmcm
Excess energy over the best structure of this formula in the dataset   29 meV/atom

No. 19
Here is a relaxed structure of K2InSbCl6 from Alexandria. Energies are from GGA-PBE.

a = 7.7102 Å, b = 7.7101 Å, c = 8.0259 Å
α = 61.30°, β = 61.30°, γ = 60.00°
Sites, in units of the cell vectors:
In: 0.8159 0.8159 0.5526
Cl: 0.1170 0.4381 0.7842
Cl: 0.5689 0.1994 0.2482
K: 0.5322 0.5322 0.4032
Cl: 0.4382 0.6607 0.7843
K: 0.0231 0.0231 0.9306
Sb: 0.3228 0.3229 0.0315
Cl: 0.9836 0.5688 0.2481
Cl: 0.1993 0.9836 0.2483
Cl: 0.6606 0.1168 0.7843

Formation energy without anion corrections   -1.32 eV per atom
Uncorrected energy   -33.35 eV for the cell shown
M_tot   0.00 μB/cell
SG   R3

No. 20
Here is a relaxed structure of KRuPt2 from Alexandria. Energies are from GGA-PBE.

a = 7.7910 Å, b = 7.7910 Å, c = 6.5743 Å
α = 53.66°, β = 53.66°, γ = 90.00°
Sites, in units of the cell vectors:
Ru: 0.0000 0.0000 0.0000
K: 0.2500 0.7500 0.5000
Pt: 0.3750 0.2615 0.7500
Pt: 0.0115 0.6250 0.2500
Ru: 0.7500 0.2500 0.5000
Pt: 0.8750 0.9885 0.7500
Pt: 0.7385 0.1250 0.2500
K: 0.5000 0.5000 0.0000

Energy relative to the elements   0.74 eV per atom
Uncorrected energy   -38.99 eV for the cell shown
M_tot   0.00 μB/cell
SG   I-42d
Excess energy over the best structure of this formula in the dataset   590 meV/atom